1.
DFT (PBE-GGA) results for a relaxed KYCd3 crystal.

Cell lengths 5.5961, 5.5961, 5.5961 Å; angles 90.00, 90.00, 90.00 degrees
Space group Pm-3m (No. 221)
Inequivalent atoms, fractional coordinates:
K (0.0000, 0.0000, 0.0000) x1
Y (0.5000, 0.5000, 0.5000) x1
Cd (0.0000, 0.0000, 0.5000) x3

Values from the calculation:
The calculation puts the polymorph energy (0 for the lowest one) at 435 meV per atom. The formation energy from the elements comes out at 0.7332 eV/atom.

2.
DFT (PBE-GGA) results for a relaxed KY2Cd2 crystal.

Cell lengths 4.7497, 4.7497, 14.9937 Å; angles 90.00, 90.00, 90.00 degrees
Space group I4/mmm (No. 139)
Inequivalent atoms, fractional coordinates:
K (0.0000, 0.0000, 0.0000) x2
Y (0.0000, 0.5000, 0.2500) x4
Cd (0.0000, 0.0000, 0.4001) x4

Values from the calculation:
The calculation puts the polymorph energy (0 for the lowest one) at 124 meV per atom. The formation energy from the elements comes out at 0.0813 eV/atom.

Density / kg/m3: 4408, 4337
M_tot / Bohr magnetons per cell: 0.00, 0.00
Volume / A^3/atom: 35.049, 33.825